1.
# NaPbO, optimized geometry, DFT GGA-PBE
data_NaPbO
_chemical_formula_sum 'Na4 Pb4 O4'
_symmetry_space_group_name_H-M 'C 1 2/m 1'
_symmetry_Int_Tables_number 12
_symmetry_space_group_name_Hall '-C 2y'
_cell_length_a 12.0826
_cell_length_b 3.9805
_cell_length_c 6.1456
_cell_angle_alpha 90.00
_cell_angle_beta 120.23
_cell_angle_gamma 90.00
loop_
_atom_site_label
_atom_site_type_symbol
_atom_site_fract_x
_atom_site_fract_y
_atom_site_fract_z
_atom_site_occupancy
Na1 Na 0.1547 0.0000 0.3438 1
Pb1 Pb 0.1020 0.5000 0.8252 1
O1 O 0.1182 0.5000 0.4796 1
# Calculated total energy   -51.3 eV per cell



2.
# HfTlTe2, optimized geometry, DFT GGA-PBE
data_HfTlTe2
_chemical_formula_sum 'Hf1 Tl1 Te2'
_symmetry_space_group_name_H-M 'P 3 m 1'
_symmetry_Int_Tables_number 156
_symmetry_space_group_name_Hall 'P 3 -2"'
_cell_length_a 3.9185
_cell_length_b 3.9185
_cell_length_c 9.9851
_cell_angle_alpha 90.00
_cell_angle_beta 90.00
_cell_angle_gamma 120.00
loop_
_atom_site_label
_atom_site_type_symbol
_atom_site_fract_x
_atom_site_fract_y
_atom_site_fract_z
_atom_site_occupancy
Hf1 Hf 0.0000 0.0000 0.0000 1
Tl1 Tl 0.3333 0.6667 0.4835 1
Te1 Te 0.3333 0.6667 0.8212 1
Te2 Te 0.6667 0.3333 0.1808 1
# Calculated total energy   -20.9 eV per cell



3.
# KPmTm4S8, optimized geometry, DFT GGA-PBE
data_KPmTm4S8
_chemical_formula_sum 'K3 Pm3 Tm12 S24'
_symmetry_space_group_name_H-M 'R 3 m'
_symmetry_Int_Tables_number 160
_symmetry_space_group_name_Hall 'R 3 -2"'
_cell_length_a 8.1117
_cell_length_b 8.1117
_cell_length_c 20.3412
_cell_angle_alpha 90.00
_cell_angle_beta 90.00
_cell_angle_gamma 120.00
loop_
_atom_site_label
_atom_site_type_symbol
_atom_site_fract_x
_atom_site_fract_y
_atom_site_fract_z
_atom_site_occupancy
K1 K 0.0000 0.0000 0.0000 1
Pm1 Pm 0.0000 0.0000 0.6338 1
Tm1 Tm 0.0000 0.0000 0.2547 1
Tm2 Tm 0.1726 0.3452 0.4609 1
S1 S 0.0000 0.0000 0.3863 1
S2 S 0.0000 0.0000 0.8609 1
S3 S 0.0385 0.5193 0.3883 1
S4 S 0.1738 0.3476 0.2078 1
# Calculated total energy   -250.8 eV per cell